## OsAuBr2 (PBE)

Data for OsAuBr2 after structural relaxation.

Unit cell a=4.9086 b=4.9086 c=4.9086 alpha=60.00 beta=60.00 gamma=60.00
With the nearest neighbours (Å) after each atom.
Fractional positions:
Os 0.2500 0.2500 0.2500  4 Br 3.01, 4 Au 3.01
Br 0.0000 0.0000 0.0000  4 Os 3.01, 4 Br 3.01
Br 0.7500 0.7500 0.7500  4 Br 3.01, 4 Au 3.01
Au 0.5000 0.5000 0.5000  4 Br 3.01, 4 Os 3.01

Its uncorrected formation energy is 1.433 eV per atom. The calculation puts the magnetic moment at 0.835 μB/atom. The value obtained for the density of states at the Fermi level is 3.93 states/eV/f.u. The calculation puts the total energy at -3.030 eV per atom.